# 1
Density functional theory data (PBE) for a relaxed PuScIn2 crystal.

Lattice parameters (Å, degrees): 4.626 4.618 4.618 90.00 90.00 90.00
Fractional positions:
Sc 0.500 0.000 0.000
In 0.000 0.000 0.500
In 0.000 0.500 0.000
Pu 0.500 0.500 0.500

Results
For the electronic total energy, the calculation gives -27.1 eV/cell. The value obtained for the magnetization is 6.35 μB per formula unit. For the energy relative to the elements, the calculation gives -88.8 kJ/mol of formula units. The polymorph energy (0 for the lowest one) is 75 meV per atom.


# 2
Density functional theory data (PBE) for a relaxed PuSc2In9 crystal.

Lattice parameters (Å, degrees): 4.567 4.567 13.702 90.00 90.00 90.00
Fractional positions:
Pu 0.000 0.000 0.000
Sc 0.000 0.000 0.338
Sc 0.000 0.000 0.662
In 0.500 0.500 0.000
In 0.500 0.500 0.335
In 0.500 0.500 0.665
In 0.500 0.000 0.172
In 0.500 0.000 0.500
In 0.500 0.000 0.828
In 0.000 0.500 0.172
In 0.000 0.500 0.500
In 0.000 0.500 0.828

Results
For the electronic total energy, the calculation gives -55.0 eV/cell. The value obtained for the magnetization is 5.66 μB per formula unit. For the energy relative to the elements, the calculation gives -325.3 kJ/mol of formula units.